# 1
Here is crystalline PmTmIrAu at its relaxed geometry from Alexandria. Energies are from GGA-PBE.

formation enthalpy at 0 K: -773 meV/atom

Cell lengths 7.0751, 7.0751, 7.0751 Å; angles 90.00, 90.00, 90.00 degrees
Space group F-43m (No. 216)
Asymmetric unit:
Pm 0.0000 0.0000 0.0000 (multiplicity 4)
Tm 0.0000 0.0000 0.5000 (multiplicity 4)
Ir 0.2500 0.2500 0.2500 (multiplicity 4)
Au 0.2500 0.2500 0.7500 (multiplicity 4)

# 2
Here is crystalline Ho2IrCl at its relaxed geometry from Alexandria. Energies are from GGA-PBE.

formation energy (no corrections): -4.20 eV per formula unit

Cell lengths 3.3539, 3.3539, 8.0067 Å; angles 90.00, 90.00, 90.00 degrees
Space group P4/mmm (No. 123)
Asymmetric unit:
Ho 0.0000 0.0000 0.2105 (multiplicity 2)
Ir 0.5000 0.5000 0.0000 (multiplicity 1)
Cl 0.5000 0.5000 0.5000 (multiplicity 1)

# 3
Here is crystalline ZnIn2As at its relaxed geometry from Alexandria. Energies are from GGA-PBE.

formation enthalpy at 0 K: 83 meV/atom

Cell lengths 3.1952, 4.0624, 7.3181 Å; angles 90.00, 100.16, 90.00 degrees
Space group Pm (No. 6)
Asymmetric unit:
Zn 0.0000 0.0000 0.0000 (multiplicity 1)
In 0.4101 0.5000 0.7855 (multiplicity 1)
In 0.7383 0.0000 0.4645 (multiplicity 1)
As 0.0832 0.5000 0.2160 (multiplicity 1)

Values for DOS at the Fermi energy, states/eV/f.u., ordered as above
3.49; 1.23; 1.45
Values for calculated total energy, eV per formula unit, ordered as above
-24.45; -24.06; -11.07
Values for magnetic moment, μB/f.u., ordered as above
0.00; 0.00; 0.00